(1)
Entry from the Alexandria database: crystalline Er2SiSeO4 at its relaxed geometry (GGA-PBEsol).

Output
SG ... No. 57
Energy relative to the elements, uncorrected ... -24.5 eV/f.u.
Spin magnetization ... 0.000 μB per formula unit
Density of states at the Fermi level ... 0.00 states/eV per cell

Lattice parameters (Å, degrees): 5.9262 6.8285 10.6226 90.00 90.00 90.00
With the nearest neighbours (Å) after each atom.
Fractional positions:
1 O 0.2782 0.4342 0.0329  1 Si 1.64
2 Se 0.5793 0.6260 0.2500  4 Er 2.85-3.00, 2 O 3.15
3 Er 0.1324 0.4733 0.2500  6 O 2.33-2.48
4 O 0.0585 0.7572 0.8776  1 Si 1.65
5 O 0.0585 0.7572 0.6224  1 Si 1.65
6 Er 0.6070 0.2500 0.5000  6 O 2.29-2.37
7 Se 0.5793 0.8740 0.7500  4 Er 2.85-3.00, 2 O 3.15
8 O 0.9415 0.2428 0.3776  1 Si 1.65
9 Si 0.8880 0.7500 0.0000  4 O 1.64-1.65
10 O 0.9415 0.2572 0.6224  1 Si 1.65
11 O 0.7218 0.9342 0.0329  1 Si 1.64
12 O 0.9415 0.2428 0.1224  1 Si 1.65
13 Si 0.8880 0.7500 0.5000  4 O 1.64-1.65
14 Er 0.6070 0.2500 0.0000  6 O 2.29-2.37
15 Er 0.3930 0.7500 0.0000  6 O 2.29-2.37
16 O 0.2782 0.4342 0.4671  1 Si 1.64
17 O 0.7218 0.5658 0.5329  1 Si 1.64
18 O 0.0585 0.7428 0.1224  1 Si 1.65
19 O 0.7218 0.9342 0.4671  1 Si 1.64
20 O 0.9415 0.2572 0.8776  1 Si 1.65
21 O 0.2782 0.0658 0.9671  1 Si 1.64
22 Er 0.8676 0.9733 0.2500  6 O 2.33-2.48
23 Si 0.1120 0.2500 0.5000  4 O 1.64-1.65
24 Er 0.8676 0.5267 0.7500  6 O 2.33-2.48
25 O 0.0585 0.7428 0.3776  1 Si 1.65
26 O 0.7218 0.5658 0.9671  1 Si 1.64
27 Er 0.1324 0.0267 0.7500  6 O 2.33-2.48
28 O 0.2782 0.0658 0.5329  1 Si 1.64
29 Se 0.4207 0.1260 0.2500  4 Er 2.85-3.00, 2 O 3.15
30 Er 0.3930 0.7500 0.5000  6 O 2.29-2.37
31 Si 0.1120 0.2500 0.0000  4 O 1.64-1.65
32 Se 0.4207 0.3740 0.7500  4 Er 2.85-3.00, 2 O 3.15

---

(2)
Entry from the Alexandria database: crystalline Hf3Sn at its relaxed geometry (GGA-PBEsol).

Output
SG ... No. 194
Spin magnetization ... 0.000 μB per formula unit
ΔE_f ... -287 meV/atom
Density of states at the Fermi level ... 4.91 states/eV per cell

Lattice parameters (Å, degrees): 5.0314 6.1812 6.1812 120.00 90.00 90.00
With the nearest neighbours (Å) after each atom.
Fractional positions:
1 Sn 0.2500 0.3333 0.6667  12 Hf 3.09
2 Hf 0.2500 0.8339 0.6679  8 Hf 3.08-3.10, 4 Sn 3.09
3 Sn 0.7500 0.6667 0.3333  12 Hf 3.09
4 Hf 0.2500 0.3321 0.1661  8 Hf 3.08-3.10, 4 Sn 3.09
5 Hf 0.7500 0.6679 0.8339  8 Hf 3.08-3.10, 4 Sn 3.09
6 Hf 0.7500 0.1661 0.3321  8 Hf 3.08-3.10, 4 Sn 3.09
7 Hf 0.7500 0.1661 0.8339  8 Hf 3.08-3.10, 4 Sn 3.09
8 Hf 0.2500 0.8339 0.1661  8 Hf 3.08-3.10, 4 Sn 3.09

---

(3)
Entry from the Alexandria database: crystalline MnS2BrN at its relaxed geometry (GGA-PBEsol).

Output
SG ... No. 123
Energy relative to the elements, uncorrected ... 7.1 eV/f.u.
Spin magnetization ... 5.051 μB per formula unit
Density of states at the Fermi level ... 2.27 states/eV per cell

Lattice parameters (Å, degrees): 3.6597 4.8965 4.8965 90.00 90.00 90.00
With the nearest neighbours (Å) after each atom.
Fractional positions:
1 S 0.0000 0.5000 0.0000  2 Br 2.45
2 Mn 0.5000 0.5000 0.5000  8 S 3.06
3 Br 0.0000 0.0000 0.0000  2 N 1.83
4 N 0.5000 0.0000 0.0000  2 Br 1.83
5 S 0.0000 0.0000 0.5000  2 Br 2.45

---

(4)
Entry from the Alexandria database: crystalline Tl2OsRh at its relaxed geometry (GGA-PBEsol).

Output
SG ... No. 119
Relative energy among the computed polymorphs ... 0 meV/atom
Spin magnetization ... 0.004 μB per formula unit
ΔE_f ... 842 meV/atom
Density of states at the Fermi level ... 5.55 states/eV per cell

Lattice parameters (Å, degrees): 3.9917 3.9917 5.2511 112.34 112.34 90.00
With the nearest neighbours (Å) after each atom.
Fractional positions:
1 Tl 0.0000 0.0000 0.0000  4 Os 2.82, 4 Tl 2.98, 4 Rh 2.98
2 Tl 0.7500 0.2500 0.5000  4 Rh 2.82, 4 Tl 2.98, 4 Os 2.98
3 Os 0.5000 0.5000 0.0000  8 Tl 2.82-2.98, 4 Rh 2.98
4 Rh 0.2500 0.7500 0.5000  8 Tl 2.82-2.98, 4 Os 2.98

---

(5)
Entry from the Alexandria database: crystalline CaNiCl2 at its relaxed geometry (GGA-PBEsol).

Output
SG ... No. 12
Relative energy among the computed polymorphs ... 146 meV/atom
Energy relative to the elements, uncorrected ... -3.3 eV/f.u.
Spin magnetization ... 0.002 μB per formula unit
Density of states at the Fermi level ... 1.32 states/eV per cell

Lattice parameters (Å, degrees): 4.9126 4.8808 4.8808 95.96 117.02 117.02
With the nearest neighbours (Å) after each atom.
Fractional positions:
1 Cl 0.0000 0.5000 0.0000  2 Ca 2.56, 2 Ni 2.56
2 Ni 0.5000 0.5000 0.5000  4 Cl 2.56
3 Cl 0.0000 0.0000 0.5000  2 Ni 2.56, 2 Ca 2.56
4 Ca 0.5000 0.0000 0.0000  4 Cl 2.56

---

(6)
Entry from the Alexandria database: crystalline LiMg2Zn at its relaxed geometry (GGA-PBEsol).

Output
SG ... No. 71
Spin magnetization ... 0.000 μB per formula unit
ΔE_f ... -37 meV/atom
Density of states at the Fermi level ... 1.26 states/eV per cell

Lattice parameters (Å, degrees): 3.4678 4.7117 5.3492 116.13 108.91 90.00
With the nearest neighbours (Å) after each atom.
Fractional positions:
1 Zn 0.5000 0.0000 0.0000  4 Mg 2.77, 4 Li 2.93
2 Mg 0.7588 0.7588 0.5175  2 Zn 2.77, 2 Li 2.89, 4 Mg 2.93
3 Li 0.0000 0.5000 0.0000  8 Mg 2.89-3.20, 4 Zn 2.93
4 Mg 0.2412 0.2412 0.4825  2 Zn 2.77, 2 Li 2.89, 4 Mg 2.93

---

(7)
Entry from the Alexandria database: crystalline La2Sb3 at its relaxed geometry (GGA-PBEsol).

Output
SG ... No. 166
Energy relative to the elements, uncorrected ... -2.9 eV/f.u.
Spin magnetization ... 0.001 μB per formula unit
Density of states at the Fermi level ... 7.46 states/eV per cell

Lattice parameters (Å, degrees): 4.2114 4.2114 10.8592 78.82 78.82 60.00
With the nearest neighbours (Å) after each atom.
Fractional positions:
1 Sb 0.1967 0.1967 0.4098  3 Sb 3.09, 3 La 3.40
2 La 0.3950 0.3950 0.8150  6 Sb 3.12-3.40
3 La 0.6050 0.6050 0.1850  6 Sb 3.12-3.40
4 Sb 0.8033 0.8033 0.5902  3 Sb 3.09, 3 La 3.40
5 Sb 0.0000 0.0000 0.0000  6 La 3.12

---

(8)
Entry from the Alexandria database: crystalline CaMg2Ag at its relaxed geometry (GGA-PBEsol).

Output
SG ... No. 99
Spin magnetization ... 0.000 μB per formula unit
ΔE_f ... -152 meV/atom
Density of states at the Fermi level ... 1.92 states/eV per cell

Lattice parameters (Å, degrees): 3.5328 3.5328 7.5365 90.00 90.00 90.00
With the nearest neighbours (Å) after each atom.
Fractional positions:
1 Ca 0.5000 0.5000 0.7214  4 Ag 3.18, 5 Mg 3.32-3.45, 4 Ca 3.53
2 Mg 0.0000 0.0000 0.0364  4 Mg 3.11, 1 Ag 3.20, 4 Ca 3.45
3 Ag 0.0000 0.0000 0.4611  4 Mg 2.84, 4 Ca 3.18
4 Mg 0.5000 0.5000 0.2811  4 Ag 2.84, 4 Mg 3.11